DFT (PBE) results for an optimized crystal structure of Ho3PdAu.

abc: 4.0923 7.1437 8.8852
angles: 90.00 90.00 90.00
Last column: nearest neighbours and their distance in Å.
Sites, in units of the cell vectors:
Ho 0.7500 0.7500 0.0568  2 Au 2.88, 1 Pd 3.20
Ho 0.2500 0.2500 0.9432  2 Au 2.88, 1 Pd 3.20
Ho 0.7500 0.9955 0.6772  3 Pd 2.86-2.91, 2 Au 3.01
Ho 0.7500 0.5045 0.6772  3 Pd 2.86-2.91, 2 Au 3.01
Ho 0.2500 0.0045 0.3228  3 Pd 2.86-2.91, 2 Au 3.01
Ho 0.2500 0.4955 0.3228  3 Pd 2.86-2.91, 2 Au 3.01
Pd 0.7500 0.7500 0.4164  7 Ho 2.86-3.20
Pd 0.2500 0.2500 0.5836  7 Ho 2.86-3.20
Au 0.7500 0.2500 0.1710  6 Ho 2.88-3.01
Au 0.2500 0.7500 0.8290  6 Ho 2.88-3.01

Properties
symmetry = Pmmn (59)

---

DFT (PBE) results for an optimized crystal structure of Ho3Pd8Au2.

abc: 5.3186 5.3186 10.7003
angles: 75.61 75.61 60.00
Last column: nearest neighbours and their distance in Å.
Sites, in units of the cell vectors:
Ho 0.0000 0.0000 0.0000  6 Au 3.19, 12 Pd 3.51-3.54
Ho 0.8117 0.8117 0.5648  7 Pd 2.70-2.96
Ho 0.1883 0.1883 0.4352  7 Pd 2.70-2.96
Pd 0.7239 0.7239 0.8284  1 Au 2.62, 1 Ho 2.70
Pd 0.2761 0.2761 0.1716  1 Au 2.62, 1 Ho 2.70
Pd 0.2279 0.7318 0.3086  4 Pd 2.64-2.68, 1 Au 2.77
Pd 0.7318 0.2279 0.3086  4 Pd 2.64-2.68, 1 Au 2.77
Pd 0.7318 0.7318 0.3086  4 Pd 2.64-2.68, 1 Au 2.77
Pd 0.2682 0.7721 0.6914  4 Pd 2.64-2.68, 1 Au 2.77
Pd 0.7721 0.2682 0.6914  4 Pd 2.64-2.68, 1 Au 2.77
Pd 0.2682 0.2682 0.6914  4 Pd 2.64-2.68, 1 Au 2.77
Au 0.6387 0.6387 0.0840  4 Pd 2.62-2.77
Au 0.3613 0.3613 0.9160  4 Pd 2.62-2.77

Properties
symmetry = R-3m (166)

---

DFT (PBE) results for an optimized crystal structure of Ho2Pd3Au.

abc: 7.6496 8.1275 7.1531
angles: 124.62 122.32 90.00
Last column: nearest neighbours and their distance in Å.
Sites, in units of the cell vectors:
Ho 0.5154 0.3183 0.6367  6 Pd 2.76-3.08, 1 Au 2.83
Ho 0.8787 0.1817 0.3633  6 Pd 2.76-3.08, 1 Au 2.83
Ho 0.1213 0.8183 0.6367  6 Pd 2.76-3.08, 1 Au 2.83
Ho 0.4846 0.6817 0.3633  6 Pd 2.76-3.08, 1 Au 2.83
Pd 0.5000 0.2500 0.0000  2 Pd 2.72, 4 Ho 3.01
Pd 0.5000 0.7500 0.0000  2 Pd 2.72, 4 Ho 3.01
Pd 0.8037 0.0537 0.6073  2 Au 2.69, 1 Pd 2.72, 2 Ho 2.76
Pd 0.1963 0.4463 0.3927  2 Au 2.69, 1 Pd 2.72, 2 Ho 2.76
Pd 0.1963 0.9463 0.3927  2 Au 2.69, 1 Pd 2.72, 2 Ho 2.76
Pd 0.8037 0.5537 0.6073  2 Au 2.69, 1 Pd 2.72, 2 Ho 2.76
Au 0.0000 0.5000 0.0000  4 Pd 2.69, 2 Ho 2.83
Au 0.0000 0.0000 0.0000  4 Pd 2.69, 2 Ho 2.83

Properties
ΔE to the lowest computed polymorph = 123.0 meV per atom
symmetry = Ibam (72)

---

DFT (PBE) results for an optimized crystal structure of Ho6PdAu5.

abc: 5.0212 8.7383 8.7383
angles: 119.82 106.66 106.66
Last column: nearest neighbours and their distance in Å.
Sites, in units of the cell vectors:
Au 0.5000 0.1660 0.8340  8 Ho 3.07-3.13
Au 0.0000 0.3329 0.6671  8 Ho 3.09-3.11
Au 0.5000 0.5000 0.5000  8 Ho 3.08-3.10
Au 0.0000 0.6671 0.3329  8 Ho 3.09-3.11
Au 0.5000 0.8340 0.1660  8 Ho 3.07-3.13
Ho 0.2485 0.0832 0.4137  1 Pd 3.07, 7 Au 3.08-3.13
Ho 0.7515 0.5863 0.9168  1 Pd 3.07, 7 Au 3.08-3.13
Ho 0.7469 0.2468 0.2468  2 Pd 3.07-3.08, 6 Au 3.07-3.11
Ho 0.2531 0.7532 0.7532  2 Pd 3.07-3.08, 6 Au 3.07-3.11
Ho 0.2485 0.4137 0.0832  1 Pd 3.07, 7 Au 3.08-3.13
Ho 0.7515 0.9168 0.5863  1 Pd 3.07, 7 Au 3.08-3.13
Pd 0.0000 0.0000 0.0000  8 Ho 3.07-3.08

Properties
symmetry = C2/m (12)

---

DFT (PBE) results for an optimized crystal structure of Ho6Pd5Au.

abc: 4.9658 7.0199 8.5910
angles: 65.88 73.26 90.00
Last column: nearest neighbours and their distance in Å.
Sites, in units of the cell vectors:
Au 0.0000 0.0000 0.0000  8 Ho 3.06
Ho 0.8323 0.5803 0.3356  7 Pd 3.00-3.05, 1 Au 3.06
Ho 0.8323 0.0840 0.3356  7 Pd 3.00-3.05, 1 Au 3.06
Ho 0.5000 0.7462 0.0000  6 Pd 3.02-3.07, 2 Au 3.06
Ho 0.5000 0.2538 0.0000  6 Pd 3.02-3.07, 2 Au 3.06
Ho 0.1677 0.9160 0.6644  7 Pd 3.00-3.05, 1 Au 3.06
Ho 0.1677 0.4197 0.6644  7 Pd 3.00-3.05, 1 Au 3.06
Pd 0.6672 0.1680 0.6643  8 Ho 3.00-3.07
Pd 0.3339 0.3331 0.3337  8 Ho 3.02-3.04
Pd 0.0000 0.5000 0.0000  8 Ho 3.03-3.04
Pd 0.6661 0.6669 0.6663  8 Ho 3.02-3.04
Pd 0.3328 0.8320 0.3357  8 Ho 3.00-3.07

Properties
ΔE to the lowest computed polymorph = 0.0 meV per atom
symmetry = C2/m (12)

---

DFT (PBE) results for an optimized crystal structure of HoPd6Au5.

abc: 4.2491 7.7435 7.6621
angles: 120.35 106.10 90.00
Last column: nearest neighbours and their distance in Å.
Sites, in units of the cell vectors:
Au 0.6654 0.1654 0.3309  8 Pd 2.84-2.89, 2 Ho 2.97, 2 Au 2.97
Au 0.3316 0.3316 0.6632  8 Pd 2.83-2.86, 4 Au 2.97-2.99
Au 0.0000 0.5000 0.0000  8 Pd 2.84, 4 Au 2.99
Au 0.6684 0.6684 0.3368  8 Pd 2.83-2.86, 4 Au 2.97-2.99
Au 0.3346 0.8346 0.6691  8 Pd 2.84-2.89, 2 Ho 2.97, 2 Au 2.97
Ho 0.0000 0.0000 0.0000  8 Pd 2.87-2.90, 4 Au 2.97
Pd 0.8325 0.5800 0.6649  7 Au 2.84-2.89, 1 Ho 2.87, 4 Pd 2.96-2.99
Pd 0.8325 0.0850 0.6649  7 Au 2.84-2.89, 1 Ho 2.87, 4 Pd 2.96-2.99
Pd 0.5000 0.7443 0.0000  6 Au 2.83-2.87, 2 Ho 2.90, 4 Pd 2.99
Pd 0.5000 0.2557 0.0000  6 Au 2.83-2.87, 2 Ho 2.90, 4 Pd 2.99
Pd 0.1675 0.9150 0.3351  7 Au 2.84-2.89, 1 Ho 2.87, 4 Pd 2.96-2.99
Pd 0.1675 0.4200 0.3351  7 Au 2.84-2.89, 1 Ho 2.87, 4 Pd 2.96-2.99

Properties
ΔE to the lowest computed polymorph = 4.1 meV per atom
symmetry = Immm (71)

---

DFT (PBE) results for an optimized crystal structure of Ho2Pd5Au2.

abc: 4.9186 9.4674 8.9713
angles: 121.85 105.91 90.00
Last column: nearest neighbours and their distance in Å.
Sites, in units of the cell vectors:
Ho 0.0893 0.6921 0.2541  4 Pd 2.78-2.85, 3 Au 2.92-3.06
Ho 0.9107 0.4380 0.7459  4 Pd 2.78-2.85, 3 Au 2.92-3.06
Ho 0.6647 0.1921 0.2541  4 Pd 2.78-2.85, 3 Au 2.92-3.06
Ho 0.3353 0.9380 0.7459  4 Pd 2.78-2.85, 3 Au 2.92-3.06
Pd 0.2059 0.7705 0.9114  2 Au 2.74, 6 Pd 2.77-2.97, 2 Ho 2.85
Pd 0.7941 0.8591 0.0886  2 Au 2.74, 6 Pd 2.77-2.97, 2 Ho 2.85
Pd 0.2055 0.2705 0.9114  2 Au 2.74, 6 Pd 2.77-2.97, 2 Ho 2.85
Pd 0.7945 0.3591 0.0886  2 Au 2.74, 6 Pd 2.77-2.97, 2 Ho 2.85
Pd 0.4009 0.9668 0.3029  2 Ho 2.78, 6 Pd 2.82-2.91, 2 Au 2.94
Pd 0.5991 0.6639 0.6971  2 Ho 2.78, 6 Pd 2.82-2.91, 2 Au 2.94
Pd 0.4020 0.4668 0.3029  2 Ho 2.78, 6 Pd 2.82-2.91, 2 Au 2.94
Pd 0.5980 0.1639 0.6971  2 Ho 2.78, 6 Pd 2.82-2.91, 2 Au 2.94
Pd 0.0005 0.5656 0.5000  2 Au 2.78, 6 Pd 2.84-2.97
Pd 0.9995 0.0656 0.5000  2 Au 2.78, 6 Pd 2.84-2.97
Au 0.0000 0.0647 0.0000  4 Pd 2.74, 2 Ho 2.92
Au 0.5000 0.5647 0.0000  4 Pd 2.74, 2 Ho 2.92
Au 0.2957 0.3155 0.5000  6 Pd 2.78-2.94, 4 Ho 3.00-3.06
Au 0.7043 0.8155 0.5000  6 Pd 2.78-2.94, 4 Ho 3.00-3.06

Properties
symmetry = Ima2 (46)

---

DFT (PBE) results for an optimized crystal structure of Ho2Pd5Au12.

abc: 8.6949 7.5632 6.7704
angles: 83.62 90.00 125.09
Last column: nearest neighbours and their distance in Å.
Sites, in units of the cell vectors:
Ho 0.7581 0.0000 0.0000  6 Au 2.90-3.09, 2 Pd 2.90
Ho 0.2419 0.0000 0.0000  6 Au 2.90-3.09, 2 Pd 2.90
Pd 0.2318 0.4635 0.4889  7 Au 2.78-2.83, 2 Pd 2.78-2.86
Pd 0.3564 0.7129 0.1156  1 Pd 2.78, 7 Au 2.78-3.01, 2 Ho 2.90
Pd 0.0000 0.0000 0.5000  6 Au 2.70-2.75, 2 Pd 2.86
Pd 0.6436 0.2871 0.8844  1 Pd 2.78, 7 Au 2.78-3.01, 2 Ho 2.90
Pd 0.7682 0.5365 0.5111  7 Au 2.78-2.83, 2 Pd 2.78-2.86
Au 0.1299 0.2598 0.1464  3 Pd 2.70-2.79, 2 Ho 2.90, 2 Au 2.95
Au 0.0791 0.5119 0.8214  5 Au 2.72-2.99, 2 Pd 2.78-2.92
Au 0.4328 0.5119 0.8214  5 Au 2.72-2.99, 2 Pd 2.78-2.92
Au 0.1612 0.7869 0.4287  4 Pd 2.75-3.01, 5 Au 2.79-2.99, 1 Ho 3.03
Au 0.6257 0.7869 0.4287  4 Pd 2.75-3.01, 5 Au 2.79-2.99, 1 Ho 3.03
Au 0.4504 0.9009 0.7113  2 Pd 2.80-2.83, 7 Au 2.87-2.96, 2 Ho 3.09
Au 0.5496 0.0991 0.2887  2 Pd 2.80-2.83, 7 Au 2.87-2.96, 2 Ho 3.09
Au 0.8388 0.2131 0.5713  4 Pd 2.75-3.01, 5 Au 2.79-2.99, 1 Ho 3.03
Au 0.3743 0.2131 0.5713  4 Pd 2.75-3.01, 5 Au 2.79-2.99, 1 Ho 3.03
Au 0.9209 0.4881 0.1786  5 Au 2.72-2.99, 2 Pd 2.78-2.92
Au 0.5672 0.4881 0.1786  5 Au 2.72-2.99, 2 Pd 2.78-2.92
Au 0.8701 0.7402 0.8536  3 Pd 2.70-2.79, 2 Ho 2.90, 2 Au 2.95

Properties
symmetry = C2/m (12)

---

DFT (PBE) results for an optimized crystal structure of Ho4Pd3Au.

abc: 3.7109 4.6185 10.5349
angles: 90.00 90.00 90.00
Last column: nearest neighbours and their distance in Å.
Sites, in units of the cell vectors:
Ho 0.5000 0.5000 0.3677  6 Pd 2.96-3.00, 1 Au 2.97
Ho 0.0000 0.5000 0.8575  5 Pd 2.86-3.02, 2 Au 3.04
Ho 0.0000 0.0000 0.1402  3 Pd 2.88-3.04, 4 Au 3.02
Ho 0.5000 0.0000 0.6369  7 Pd 2.90-3.01
Pd 0.0000 0.5000 0.5864  7 Ho 2.86-3.01, 2 Pd 2.94
Pd 0.0000 0.0000 0.4136  7 Ho 2.88-3.00, 2 Pd 2.94
Pd 0.5000 0.0000 0.9121  7 Ho 2.90-3.04, 2 Au 2.95
Au 0.5000 0.5000 0.0857  2 Pd 2.95, 7 Ho 2.97-3.04

Properties
symmetry = Pmm2 (25)

---

DFT (PBE) results for an optimized crystal structure of HoPd2Au.

abc: 4.0384 4.2270 4.2270
angles: 90.00 90.00 90.00
Last column: nearest neighbours and their distance in Å.
Sites, in units of the cell vectors:
Au 0.5000 0.0000 0.0000  8 Pd 2.92, 4 Ho 2.99
Ho 0.5000 0.5000 0.5000  8 Pd 2.92, 4 Au 2.99
Pd 0.0000 0.0000 0.5000  4 Au 2.92, 4 Ho 2.92, 4 Pd 2.99
Pd 0.0000 0.5000 0.0000  4 Ho 2.92, 4 Au 2.92, 4 Pd 2.99

Properties
ΔE to the lowest computed polymorph = 0.0 meV per atom
symmetry = P4/mmm (123)

---

DFT (PBE) results for an optimized crystal structure of HoPdAu3.

abc: 4.9592 5.6300 7.3488
angles: 90.00 70.18 90.00
Last column: nearest neighbours and their distance in Å.
Sites, in units of the cell vectors:
Ho 0.3977 0.7500 0.7061  3 Pd 2.83-3.16, 8 Au 2.96-3.16
Ho 0.6023 0.2500 0.2939  3 Pd 2.83-3.16, 8 Au 2.96-3.16
Pd 0.6259 0.7500 0.2495  3 Ho 2.83-3.16, 8 Au 2.89-3.00
Pd 0.3741 0.2500 0.7505  3 Ho 2.83-3.16, 8 Au 2.89-3.00
Au 0.1919 0.0009 0.1158  5 Au 2.80-2.95, 3 Pd 2.89-3.00, 2 Ho 3.10
Au 0.8081 0.9991 0.8842  5 Au 2.80-2.95, 3 Pd 2.89-3.00, 2 Ho 3.10
Au 0.1919 0.4991 0.1158  5 Au 2.80-2.95, 3 Pd 2.89-3.00, 2 Ho 3.10
Au 0.8081 0.5009 0.8842  5 Au 2.80-2.95, 3 Pd 2.89-3.00, 2 Ho 3.10
Au 0.0162 0.7500 0.4717  6 Au 2.84-3.18, 2 Pd 2.91-2.93, 2 Ho 2.96-2.97
Au 0.9838 0.2500 0.5283  6 Au 2.84-3.18, 2 Pd 2.91-2.93, 2 Ho 2.96-2.97

Properties
ΔE to the lowest computed polymorph = 18.4 meV per atom
symmetry = P2_1/m (11)

---

DFT (PBE) results for an optimized crystal structure of HoPd7Au12.

abc: 8.0344 8.0344 8.0344
angles: 111.00 111.00 111.00
Last column: nearest neighbours and their distance in Å.
Sites, in units of the cell vectors:
Ho 0.0000 0.0000 0.0000  6 Pd 2.92
Pd 0.8513 0.5633 0.8911  7 Au 2.70-2.97, 1 Ho 2.92
Pd 0.4367 0.1089 0.1487  7 Au 2.70-2.97, 1 Ho 2.92
Pd 0.1089 0.1487 0.4367  7 Au 2.70-2.97, 1 Ho 2.92
Pd 0.5000 0.5000 0.5000  6 Au 2.71
Pd 0.8911 0.8513 0.5633  7 Au 2.70-2.97, 1 Ho 2.92
Pd 0.5633 0.8911 0.8513  7 Au 2.70-2.97, 1 Ho 2.92
Pd 0.1487 0.4367 0.1089  7 Au 2.70-2.97, 1 Ho 2.92
Au 0.9136 0.2255 0.6757  4 Pd 2.70-2.97, 5 Au 2.85-3.00
Au 0.7745 0.3243 0.0864  4 Pd 2.70-2.97, 5 Au 2.85-3.00
Au 0.4862 0.1691 0.5280  4 Au 2.70-3.00, 4 Pd 2.71-2.78
Au 0.8309 0.4720 0.5138  4 Au 2.70-3.00, 4 Pd 2.71-2.78
Au 0.3243 0.0864 0.7745  4 Pd 2.70-2.97, 5 Au 2.85-3.00
Au 0.4720 0.5138 0.8309  4 Au 2.70-3.00, 4 Pd 2.71-2.78
Au 0.5280 0.4862 0.1691  4 Au 2.70-3.00, 4 Pd 2.71-2.78
Au 0.6757 0.9136 0.2255  4 Pd 2.70-2.97, 5 Au 2.85-3.00
Au 0.1691 0.5280 0.4862  4 Au 2.70-3.00, 4 Pd 2.71-2.78
Au 0.5138 0.8309 0.4720  4 Au 2.70-3.00, 4 Pd 2.71-2.78
Au 0.2255 0.6757 0.9136  4 Pd 2.70-2.97, 5 Au 2.85-3.00
Au 0.0864 0.7745 0.3243  4 Pd 2.70-2.97, 5 Au 2.85-3.00

Properties
symmetry = R-3 (148)

---

Number 1: ΔE_f -0.65 eV per atom. Number 2: ΔE_f -0.52 eV per atom. Number 3: ΔE_f -0.54 eV per atom. Number 4: ΔE_f -0.87 eV per atom. Number 5: ΔE_f -0.89 eV per atom. Number 6: ΔE_f -0.37 eV per atom. Number 7: ΔE_f -0.61 eV per atom. Number 8: ΔE_f -0.30 eV per atom. Number 9: ΔE_f -0.93 eV per atom. Number 10: ΔE_f -0.87 eV per atom. Number 11: ΔE_f -0.54 eV per atom. Number 12: ΔE_f -0.07 eV per atom.